[1]
This record from Alexandria via LeMat-Bulk describes Re2HgI after structural relaxation. The functional is PBE.

Calculated values
Final energy: -5.129 eV/atom
Raw formation energy: 1.5576 eV per atom
Relative energy among the computed polymorphs: 68 meV/atom
Calculated density: 16.25 g cm⁻³
Volume: 286 Å³/cell

a = 6.589 Å, b = 6.589 Å, c = 6.589 Å
α = 90.00°, β = 90.00°, γ = 90.00°
Space group Fm-3m (No. 225)
Symmetry-distinct sites (fractional):
Re  0.250  0.250  0.250
Hg  0.000  0.000  0.000
I  0.000  0.000  0.500


[2]
This record from Alexandria via LeMat-Bulk describes CsNa2MgPb after structural relaxation. The functional is PBE.

Calculated values
Final energy: -1.774 eV/atom
Relative energy among the computed polymorphs: 0 meV/atom
Calculated density: 3.06 g cm⁻³
Volume: 222 Å³/cell

a = 6.213 Å, b = 6.213 Å, c = 5.764 Å
α = 90.00°, β = 90.00°, γ = 90.00°
Space group P4/mmm (No. 123)
Symmetry-distinct sites (fractional):
Cs  0.000  0.000  0.000
Na  0.000  0.500  0.500
Mg  0.500  0.500  0.000
Pb  0.500  0.500  0.500


[3]
This record from Alexandria via LeMat-Bulk describes Rb2PdSeBr6 after structural relaxation. The functional is PBE.

Calculated values
Final energy: -2.876 eV/atom
Raw formation energy: -0.8112 eV per atom
Calculated density: 4.40 g cm⁻³
Volume: 631 Å³/cell

a = 7.633 Å, b = 7.633 Å, c = 10.825 Å
α = 90.00°, β = 90.00°, γ = 90.00°
Space group I4/mmm (No. 139)
Symmetry-distinct sites (fractional):
Rb  0.000  0.500  0.250
Pd  0.000  0.000  0.000
Se  0.000  0.000  0.500
Br  0.000  0.000  0.244
Br  0.242  0.242  0.000